Entry 1:
SmAlTc | PBE | optimized geometry

For the density of states at the Fermi level, the calculation gives 2.348 states/eV/f.u. The formation enthalpy at 0 K is 6 kJ per mole of atoms.

a b c (Å): 5.2510 5.2510 7.5406
angles (deg): 90.00 90.00 120.00
Last column: nearest neighbours and their distance in Å.
Space group P3_212 (No. 153)
Symmetry-distinct sites (fractional):
Sm: 0.0312 0.5156 0.0000  5 Al 2.94-3.23, 5 Tc 2.96-3.11
Al: 0.1294 0.2588 0.3333  3 Tc 2.76-2.89, 4 Sm 2.94-3.02
Tc: 0.3478 0.1739 0.0000  3 Al 2.76-2.89, 4 Sm 2.96-2.99

Entry 2:
TlCdPb2 | PBE | optimized geometry

For the density of states at the Fermi level, the calculation gives 1.519 states/eV/f.u. The formation enthalpy at 0 K is 4 kJ per mole of atoms.

a b c (Å): 3.9987 3.9987 7.4069
angles (deg): 90.00 90.00 90.00
Last column: nearest neighbours and their distance in Å.
Space group P4mm (No. 99)
Symmetry-distinct sites (fractional):
Tl: 0.0000 0.0000 0.0000  4 Cd 3.30, 5 Pb 3.44-3.47
Cd: 0.5000 0.5000 0.2286  4 Tl 3.30, 4 Pb 3.32
Pb: 0.0000 0.0000 0.4646  4 Cd 3.32, 4 Pb 3.44, 1 Tl 3.44
Pb: 0.5000 0.5000 0.7280  4 Pb 3.44, 4 Tl 3.47, 2 Cd 3.70-3.71

Entry 3:
K4La3ThS8 | PBE | optimized geometry

For the density of states at the Fermi level, the calculation gives 5.733 states/eV/f.u. Its uncorrected formation energy is -1.856 eV/atom.

a b c (Å): 8.4974 8.4974 22.1411
angles (deg): 90.00 90.00 120.00
Last column: nearest neighbours and their distance in Å.
Space group R-3m (No. 166, hexagonal axes)
Symmetry-distinct sites (fractional):
K: 0.0000 0.0000 0.0000  6 S 3.32
K: 0.0000 0.5000 0.0000  6 S 3.23-3.25
La: 0.0000 0.5000 0.5000  6 S 2.91-2.93
Th: 0.0000 0.0000 0.5000  6 S 2.83
S: 0.0000 0.0000 0.2372  3 La 2.91, 3 K 3.25
S: 0.0103 0.5051 0.2363  1 Th 2.83, 2 La 2.93

Entry 4:
YLuRh4 | PBE | optimized geometry

For the density of states at the Fermi level, the calculation gives 4.236 states/eV/f.u. The formation enthalpy at 0 K is -72 kJ per mole of atoms.

a b c (Å): 7.5188 7.5188 7.5188
angles (deg): 90.00 90.00 90.00
Last column: nearest neighbours and their distance in Å.
Space group F-43m (No. 216)
Symmetry-distinct sites (fractional):
Y: 0.0000 0.0000 0.0000  12 Rh 3.12, 4 Lu 3.26
Lu: 0.2500 0.2500 0.7500  12 Rh 3.12, 4 Y 3.26
Rh: 0.1249 0.1249 0.3751  6 Rh 2.66